i | Zr2CrRh | Alexandria | meta-GGA SCAN | single point on PBEsol structure; size of the total moment = 2.36 μB/cell; volume = 70.1 Å³ per cell; Fermi-level density of states = 2.77 states/eV per cell
1.0
-1.513 2.069 1.647
-3.734 -1.827 -1.134
0.270 -3.199 4.266
Zr Cr Rh
2 1 1
Direct
0.000 0.000 0.954 Zr
0.500 0.500 0.303 Zr
0.000 0.000 0.453 Cr
0.500 0.500 0.789 Rh

ii | Zr2CrRh | Alexandria | meta-GGA SCAN | single point on PBEsol structure; size of the total moment = 2.08 μB/cell; volume = 68.4 Å³ per cell; Fermi-level density of states = 3.71 states/eV per cell
1.0
3.787 0.000 0.000
0.000 3.787 0.000
-1.893 -1.893 4.773
Zr Cr Rh
2 1 1
Direct
0.000 0.000 0.000 Zr
0.750 0.250 0.500 Zr
0.500 0.500 0.000 Cr
0.250 0.750 0.500 Rh

iii | Zr2CrRh | Alexandria | meta-GGA SCAN | single point on PBEsol structure; size of the total moment = 0.92 μB/cell; volume = 68.2 Å³ per cell; Fermi-level density of states = 3.37 states/eV per cell
1.0
2.987 0.000 0.000
-1.494 4.130 -0.019
0.000 -0.819 5.529
Cr Zr Rh
1 2 1
Direct
0.000 0.000 0.500 Cr
0.747 0.494 0.742 Zr
0.253 0.506 0.258 Zr
0.500 0.000 0.000 Rh

What are the relative energies? In kJ/mol of atoms: i 11.5; ii 0.0; iii 28.0.